{
  "formula": "TbPrGd2",
  "functional": "PBE-GGA",
  "state": "relaxed",
  "lattice_angstrom": [[5.736, 0.000, 0.000], [2.868, 4.968, 0.000], [2.868, 1.656, 4.684]],
  "species": ["Gd", "Gd", "Tb", "Pr"],
  "fractional_positions": [[0.250, 0.250, 0.250], [0.750, 0.750, 0.750], [0.500, 0.500, 0.500], [0.000, 0.000, 0.000]],
  "dft_energy_ev_per_atom": -9.3005,
  "dos_ef_per_ev_atom": 1.69,
  "ef_mev_per_atom": 92
}